DFT (GGA+U) results for an optimized crystal structure of PmEr2MoO8. Values from VASP.

The structure in Quantum ESPRESSO input format:
```
&SYSTEM
  ibrav = 0, nat = 12, ntyp = 4
/
ATOMIC_SPECIES
Pm 145.00 Pm.upf
Er 167.26 Er.upf
Mo 95.94 Mo.upf
O 16.00 O.upf
ATOMIC_POSITIONS crystal
Pm 0.0000 0.0000 0.0000
Er 0.5000 0.5000 0.2570
Er 0.5000 0.5000 0.7430
Mo 0.0000 0.0000 0.5000
O 0.1856 0.8144 0.2929
O 0.1856 0.8144 0.7071
O 0.2777 0.2777 0.5000
O 0.3172 0.3172 0.0000
O 0.6828 0.6828 0.0000
O 0.7223 0.7223 0.5000
O 0.8144 0.1856 0.2929
O 0.8144 0.1856 0.7071
CELL_PARAMETERS angstrom
3.5390 -3.5680 0.0000
3.5390 3.5680 0.0000
0.0000 0.0000 6.8884
```

The value obtained for the total energy is -92.7 eV per cell. As for the calculated volume: 173.96 Å³/cell.